Below is TiSb2Pt after structural relaxation, with properties calculated at the GGA-PBEsol level.

density of states at the Fermi level: 0.43 states/eV/atom
formation energy without anion corrections: -0.13 eV/atom
total DFT energy (no corrections): -6.23 eV/atom
magnetization: 0.0 μB/cell

a b c (Å): 4.7561 4.7561 4.7561
angles (deg): 60.00 60.00 60.00
Closest atoms and distances in Å follow each position.
Element x y z (fractional)
Ti 0.0000 0.0000 0.0000  8 Sb 2.91
Sb 0.2500 0.2500 0.2500  4 Pt 2.91, 4 Ti 2.91
Sb 0.7500 0.7500 0.7500  4 Ti 2.91, 4 Pt 2.91
Pt 0.5000 0.5000 0.5000  8 Sb 2.91



Below is ZnTe2As after structural relaxation, with properties calculated at the GGA-PBEsol level.

density of states at the Fermi level: 0.44 states/eV/atom
formation energy without anion corrections: 0.04 eV/atom
total DFT energy (no corrections): -3.39 eV/atom
magnetization: 0.0 μB/cell

a b c (Å): 3.3806 3.3806 8.9842
angles (deg): 90.00 90.00 90.00
Closest atoms and distances in Å follow each position.
Element x y z (fractional)
Zn 0.0000 0.0000 0.0000  4 As 2.53, 1 Te 2.58
Te 0.0000 0.0000 0.2872  1 Zn 2.58
Te 0.5000 0.5000 0.6250  1 As 2.55
As 0.5000 0.5000 0.9086  4 Zn 2.53, 1 Te 2.55



Below is LiIn3 after structural relaxation, with properties calculated at the GGA-PBEsol level.

density of states at the Fermi level: 0.33 states/eV/atom
formation enthalpy at 0 K: -0.136 eV/atom
total DFT energy (no corrections): -2.87 eV/atom
magnetization: 0.0 μB/cell

a b c (Å): 3.3780 5.1105 5.3536
angles (deg): 90.00 90.00 90.00
Closest atoms and distances in Å follow each position.
Element x y z (fractional)
Li 0.0000 0.0000 0.0000  10 In 3.09-3.18, 2 Li 3.38
In 0.0000 0.5000 0.6756  2 Li 3.09, 10 In 3.11-3.38
In 0.5000 0.0000 0.4980  8 In 3.12-3.38, 4 Li 3.16-3.17
In 0.5000 0.5000 0.1627  8 In 3.11-3.38, 4 Li 3.18